<P>
A plane-wave DFT calculation with PBE was carried out for a relaxed MoIr2Au crystal.

Calculated values
spin magnetization	0.000	μB/cell

a = 2.785 Å, b = 4.007 Å, c = 5.588 Å
α = 90.00°, β = 90.00°, γ = 90.00°
Fractional positions:
Mo1 0.000 0.000 0.000
Ir1 0.000 0.000 0.534
Ir2 0.500 0.500 0.783
Au1 0.500 0.500 0.275



<Q>
A plane-wave DFT calculation with PBE was carried out for a relaxed MoIr2Au crystal.

Calculated values
spin magnetization	0.000	μB/cell

a = 2.752 Å, b = 2.752 Å, c = 9.549 Å
α = 90.00°, β = 90.00°, γ = 117.68°
Fractional positions:
Mo1 0.000 0.000 0.000
Ir1 0.500 0.500 0.234
Ir2 0.500 0.500 0.766
Au1 0.000 0.000 0.500



Which of them is the most stable? Correct choice: <P>.



<P>
A plane-wave DFT calculation with PBE was carried out for a relaxed MoIr2Au crystal.

Calculated values
spin magnetization	0.483	μB/cell

a = 9.448 Å, b = 9.448 Å, c = 9.448 Å
α = 16.95°, β = 16.95°, γ = 16.95°
Fractional positions:
Mo1 0.000 0.000 0.000
Ir1 0.256 0.256 0.256
Ir2 0.508 0.508 0.508
Au1 0.754 0.754 0.754



<Q>
A plane-wave DFT calculation with PBE was carried out for a relaxed MoIr2Au crystal.

Calculated values
spin magnetization	0.002	μB/cell

a = 9.432 Å, b = 9.432 Å, c = 9.432 Å
α = 17.07°, β = 17.07°, γ = 17.07°
Fractional positions:
Mo1 0.000 0.000 0.000
Ir1 0.256 0.256 0.256
Ir2 0.744 0.744 0.744
Au1 0.500 0.500 0.500



Which of them is the most stable? Correct choice: <Q>.



<P>
A plane-wave DFT calculation with PBE was carried out for a relaxed Mo2Ir2Au crystal.

Calculated values
spin magnetization	0.000	μB/cell

a = 7.663 Å, b = 7.663 Å, c = 2.780 Å
α = 90.00°, β = 90.00°, γ = 90.00°
Fractional positions:
Mo1 0.167 0.333 0.000
Mo2 0.333 0.833 0.000
Mo3 0.667 0.167 0.000
Mo4 0.833 0.667 0.000
Ir1 0.126 0.626 0.500
Ir2 0.374 0.126 0.500
Ir3 0.626 0.874 0.500
Ir4 0.874 0.374 0.500
Au1 0.000 0.000 0.500
Au2 0.500 0.500 0.500



<Q>
A plane-wave DFT calculation with PBE was carried out for a relaxed Mo2Ir2Au crystal.

Calculated values
spin magnetization	0.000	μB/cell

a = 7.734 Å, b = 7.734 Å, c = 2.767 Å
α = 90.00°, β = 90.00°, γ = 90.00°
Fractional positions:
Mo1 0.122 0.378 0.000
Mo2 0.378 0.878 0.000
Mo3 0.622 0.122 0.000
Mo4 0.878 0.622 0.000
Ir1 0.166 0.666 0.500
Ir2 0.334 0.166 0.500
Ir3 0.666 0.834 0.500
Ir4 0.834 0.334 0.500
Au1 0.000 0.000 0.000
Au2 0.500 0.500 0.000



<R>
A plane-wave DFT calculation with PBE was carried out for a relaxed Mo2Ir2Au crystal.

Calculated values
spin magnetization	0.000	μB/cell

a = 6.348 Å, b = 6.348 Å, c = 6.348 Å
α = 143.70°, β = 143.70°, γ = 52.28°
Fractional positions:
Mo1 0.250 0.750 0.500
Mo2 0.750 0.250 0.500
Ir1 0.108 0.108 0.000
Ir2 0.892 0.892 0.000
Au1 0.500 0.500 0.000



Which of them is the most stable? Correct choice: <P>.



<P>
A plane-wave DFT calculation with PBE was carried out for a relaxed MoIr3Au crystal.

Calculated values
spin magnetization	0.000	μB/cell

a = 4.704 Å, b = 4.704 Å, c = 4.704 Å
α = 90.00°, β = 90.00°, γ = 90.00°
Fractional positions:
Mo1 0.000 0.000 0.000
Ir1 0.000 0.000 0.500
Ir2 0.000 0.500 0.000
Ir3 0.500 0.000 0.000
Au1 0.500 0.500 0.500



<Q>
A plane-wave DFT calculation with PBE was carried out for a relaxed MoIr3Au crystal.

Calculated values
spin magnetization	0.000	μB/cell

a = 4.762 Å, b = 4.762 Å, c = 4.762 Å
α = 90.00°, β = 90.00°, γ = 90.00°
Fractional positions:
Mo1 0.000 0.000 0.000
Ir1 0.000 0.500 0.500
Ir2 0.500 0.000 0.500
Ir3 0.500 0.500 0.000
Au1 0.500 0.500 0.500



Which of them is the most stable? Correct choice: <P>.



<P>
A plane-wave DFT calculation with PBE was carried out for a relaxed MoIr2Au2 crystal.

Calculated values
spin magnetization	1.183	μB/cell

a = 7.252 Å, b = 7.252 Å, c = 7.252 Å
α = 150.92°, β = 150.92°, γ = 41.60°
Fractional positions:
Mo1 0.000 0.000 0.000
Ir1 0.408 0.408 0.000
Ir2 0.592 0.592 0.000
Au1 0.250 0.750 0.500
Au2 0.750 0.250 0.500



<Q>
A plane-wave DFT calculation with PBE was carried out for a relaxed MoIr2Au2 crystal.

Calculated values
spin magnetization	0.000	μB/cell

a = 6.540 Å, b = 6.540 Å, c = 4.100 Å
α = 90.00°, β = 90.00°, γ = 90.00°
Fractional positions:
Mo1 0.000 0.000 0.000
Mo2 0.500 0.500 0.000
Ir1 0.135 0.365 0.000
Ir2 0.365 0.865 0.000
Ir3 0.635 0.135 0.000
Ir4 0.865 0.635 0.000
Au1 0.170 0.670 0.500
Au2 0.330 0.170 0.500
Au3 0.670 0.830 0.500
Au4 0.830 0.330 0.500



Which of them is the most stable? Correct choice: <Q>.



<P>
A plane-wave DFT calculation with PBE was carried out for a relaxed IrAuN2 crystal.

Calculated values
spin magnetization	0.000	μB/cell

a = 4.001 Å, b = 4.001 Å, c = 4.001 Å
α = 60.00°, β = 60.00°, γ = 60.00°
Fractional positions:
Ir1 0.000 0.000 0.000
Au1 0.500 0.500 0.500
N1 0.250 0.250 0.250
N2 0.750 0.750 0.750



<Q>
A plane-wave DFT calculation with PBE was carried out for a relaxed IrAuN2 crystal.

Calculated values
spin magnetization	0.005	μB/cell

a = 6.485 Å, b = 6.485 Å, c = 6.485 Å
α = 27.57°, β = 27.57°, γ = 27.57°
Fractional positions:
Ir1 0.000 0.000 0.000
Au1 0.500 0.500 0.500
N1 0.102 0.102 0.102
N2 0.898 0.898 0.898



Which of them is the most stable? Correct choice: <Q>.